Record 1
Ho3Pt2O | PBE | optimized geometry

Unit cell a=6.281 b=7.145 c=6.674 alpha=93.79 beta=118.07 gamma=90.00
Fractional positions:
Pt  0.611  0.007  0.349
Pt  0.738  0.507  0.349
Pt  0.262  0.493  0.651
Pt  0.389  0.993  0.651
Ho  0.360  0.250  0.000
Ho  0.704  0.311  0.687
Ho  0.984  0.811  0.687
Ho  0.296  0.689  0.313
Ho  0.016  0.189  0.313
Ho  0.640  0.750  0.000
O  0.020  0.250  0.000
O  0.980  0.750  0.000

Computed properties:
raw total energy	-82.81	eV for the cell shown
space group	C2/c
ρ	11.35	g/cm³



Record 2
Ho2Pt2O7 | PBE | optimized geometry

Unit cell a=7.252 b=7.252 c=7.252 alpha=60.00 beta=60.00 gamma=60.00
Fractional positions:
O  0.217  0.783  0.783
O  0.033  0.033  0.467
O  0.750  0.750  0.750
O  0.217  0.783  0.217
O  0.783  0.217  0.783
O  0.467  0.033  0.033
O  0.217  0.217  0.783
O  0.500  0.500  0.500
O  0.783  0.783  0.217
O  0.783  0.217  0.217
O  0.033  0.467  0.467
O  0.467  0.033  0.467
O  0.033  0.467  0.033
O  0.467  0.467  0.033
Ho  0.625  0.125  0.625
Ho  0.625  0.625  0.125
Ho  0.125  0.625  0.625
Ho  0.625  0.625  0.625
Pt  0.125  0.125  0.125
Pt  0.125  0.125  0.625
Pt  0.625  0.125  0.125
Pt  0.125  0.625  0.125

Computed properties:
raw total energy	-156.46	eV for the cell shown
space group	Fd-3m
ρ	10.24	g/cm³



Record 3
HoPt3O6 | PBE | optimized geometry

Unit cell a=3.518 b=6.183 c=6.183 alpha=109.92 beta=90.00 gamma=90.00
Fractional positions:
O  0.500  0.352  0.648
O  0.000  0.657  0.919
O  0.000  0.081  0.343
O  0.000  0.343  0.081
O  0.500  0.648  0.352
O  0.000  0.919  0.657
Pt  0.500  0.000  0.500
Pt  0.500  0.500  0.000
Pt  0.000  0.000  0.000
Ho  0.000  0.500  0.500

Computed properties:
raw total energy	-64.61	eV for the cell shown
space group	Cmmm
ρ	11.11	g/cm³



Record 4
Ho3PtO | PBE | optimized geometry

Unit cell a=4.640 b=4.640 c=4.640 alpha=90.00 beta=90.00 gamma=90.00
Fractional positions:
Ho  0.000  0.500  0.000
Ho  0.000  0.000  0.500
Ho  0.500  0.000  0.000
Pt  0.500  0.500  0.500
O  0.000  0.000  0.000

Computed properties:
raw total energy	-32.58	eV for the cell shown
space group	Pm-3m
ρ	11.73	g/cm³



Record 5
HoPt2O6 | PBE | optimized geometry

Unit cell a=4.785 b=5.277 c=5.277 alpha=120.00 beta=90.00 gamma=90.00
Fractional positions:
O  0.725  0.354  0.000
O  0.275  0.354  0.354
O  0.725  0.646  0.646
O  0.725  0.000  0.354
O  0.275  0.646  0.000
O  0.275  0.000  0.646
Pt  0.500  0.333  0.667
Pt  0.500  0.667  0.333
Ho  0.000  0.000  0.000

Computed properties:
raw total energy	-58.27	eV for the cell shown
space group	P-31m
ρ	9.37	g/cm³



Record 6
HoPuPtO6 | PBE | optimized geometry

Unit cell a=5.345 b=5.345 c=10.003 alpha=90.00 beta=90.00 gamma=120.00
Fractional positions:
Ho  0.000  0.000  0.500
Ho  0.000  0.000  0.000
Pu  0.667  0.333  0.250
Pu  0.333  0.667  0.750
O  0.352  0.015  0.635
O  0.663  0.648  0.635
O  0.337  0.985  0.135
O  0.015  0.663  0.365
O  0.663  0.015  0.865
O  0.352  0.337  0.865
O  0.015  0.352  0.135
O  0.985  0.337  0.635
O  0.648  0.663  0.135
O  0.985  0.648  0.865
O  0.648  0.985  0.365
O  0.337  0.352  0.365
Pt  0.333  0.667  0.250
Pt  0.667  0.333  0.750

Computed properties:
raw total energy	-149.58	eV for the cell shown
space group	P-31c
ρ	9.39	g/cm³



Record 7
Rb2HoPtO6 | PBE | optimized geometry

Unit cell a=5.965 b=5.965 c=5.965 alpha=60.00 beta=60.00 gamma=60.00
Fractional positions:
Pt  0.000  0.000  0.000
O  0.767  0.233  0.233
O  0.233  0.767  0.233
O  0.233  0.233  0.767
O  0.233  0.767  0.767
O  0.767  0.767  0.233
O  0.767  0.233  0.767
Rb  0.250  0.250  0.250
Rb  0.750  0.750  0.750
Ho  0.500  0.500  0.500

Computed properties:
raw total energy	-56.68	eV for the cell shown
space group	Fm-3m
ρ	6.94	g/cm³



Record 8
Rb3Ho2PtO6 | PBE | optimized geometry

Unit cell a=5.902 b=5.902 c=6.885 alpha=99.77 beta=99.77 gamma=117.59
Fractional positions:
Rb  0.500  0.500  0.500
Rb  0.165  0.835  0.500
Rb  0.835  0.165  0.500
Ho  0.664  0.336  0.000
Ho  0.336  0.664  0.000
O  0.300  0.300  0.798
O  0.700  0.700  0.202
O  0.939  0.624  0.835
O  0.061  0.376  0.165
O  0.624  0.939  0.835
O  0.376  0.061  0.165
Pt  0.000  0.000  0.000

Computed properties:
raw total energy	-71.71	eV for the cell shown
space group	C2/m
ρ	7.25	g/cm³



Record 9
Rb2HoPtO4 | PBE | optimized geometry

Unit cell a=6.117 b=7.797 c=11.763 alpha=84.14 beta=74.93 gamma=66.90
Fractional positions:
Ho  0.000  0.000  0.000
Ho  0.750  0.500  0.500
O  0.836  0.804  0.994
O  0.580  0.304  0.506
O  0.116  0.304  0.494
O  0.390  0.696  0.494
O  0.634  0.196  0.006
O  0.360  0.804  0.006
O  0.170  0.196  0.994
O  0.914  0.696  0.506
Rb  0.562  0.500  0.876
Rb  0.812  0.000  0.376
Rb  0.938  0.500  0.124
Rb  0.188  0.000  0.624
Pt  0.250  0.500  0.500
Pt  0.500  0.000  0.000

Computed properties:
raw total energy	-87.42	eV for the cell shown
space group	Fddd
ρ	3.97	g/cm³



Record 10
Rb4Ho3PtO8 | PBE | optimized geometry

Unit cell a=6.795 b=7.589 c=6.971 alpha=116.37 beta=119.17 gamma=90.00
Fractional positions:
Ho  0.500  0.500  0.000
Ho  0.000  0.500  0.500
Ho  0.500  0.500  0.500
O  0.739  0.666  0.948
O  0.280  0.326  0.560
O  0.792  0.334  0.052
O  0.261  0.334  0.052
O  0.255  0.701  0.509
O  0.208  0.666  0.948
O  0.745  0.299  0.491
O  0.720  0.674  0.440
Rb  0.500  0.000  0.000
Rb  0.000  0.000  0.000
Rb  0.000  0.000  0.500
Rb  0.500  0.000  0.500
Pt  0.000  0.500  0.000

Computed properties:
raw total energy	-97.94	eV for the cell shown
space group	C2/m
ρ	7.13	g/cm³



Record 11
Rb2Ho2PtO6 | PBE | optimized geometry

Unit cell a=5.778 b=5.778 c=6.886 alpha=97.51 beta=97.51 gamma=119.55
Fractional positions:
Rb  0.164  0.836  0.000
Rb  0.836  0.164  0.000
O  0.637  0.951  0.335
O  0.744  0.744  0.667
O  0.951  0.637  0.335
O  0.049  0.363  0.665
O  0.363  0.049  0.665
O  0.256  0.256  0.333
Ho  0.335  0.665  0.500
Ho  0.665  0.335  0.500
Pt  0.000  0.000  0.500

Computed properties:
raw total energy	-70.40	eV for the cell shown
space group	C2/m
ρ	6.81	g/cm³



Record 12
HoSc2PtO | PBE | optimized geometry

Unit cell a=4.321 b=4.321 c=4.699 alpha=90.00 beta=90.00 gamma=90.00
Fractional positions:
O  0.000  0.000  0.000
Ho  0.000  0.000  0.500
Sc  0.000  0.500  0.000
Sc  0.500  0.000  0.000
Pt  0.500  0.500  0.501

Computed properties:
raw total energy	-36.68	eV for the cell shown
space group	P4/mmm
ρ	8.82	g/cm³



Number 1: E_form (uncorrected) -1.77 eV/atom, magnetic moment 0.0 μB per formula unit. Number 2: E_form (uncorrected) -2.03 eV/atom, magnetic moment 0.0 μB per formula unit. Number 3: E_form (uncorrected) -1.22 eV/atom, magnetic moment 0.0 μB per formula unit. Number 4: E_form (uncorrected) -1.57 eV/atom, magnetic moment 0.0 μB per formula unit. Number 5: E_form (uncorrected) -1.32 eV/atom, magnetic moment 0.6 μB per formula unit. Number 6: E_form (uncorrected) -2.23 eV/atom, magnetic moment 3.0 μB per formula unit. Number 7: E_form (uncorrected) -1.44 eV/atom, magnetic moment 2.8 μB per formula unit. Number 8: E_form (uncorrected) -1.99 eV/atom, magnetic moment 1.0 μB per formula unit. Number 9: E_form (uncorrected) -1.42 eV/atom, magnetic moment 1.0 μB per formula unit. Number 10: E_form (uncorrected) -2.16 eV/atom, magnetic moment 1.0 μB per formula unit. Number 11: E_form (uncorrected) -2.14 eV/atom, magnetic moment 0.0 μB per formula unit. Number 12: E_form (uncorrected) -1.69 eV/atom, magnetic moment 0.0 μB per formula unit.